Entry from Alexandria via LeMat-Bulk: a geometry-optimized Dy2HoPd3 structure (PBE).

The structure belongs to space group C2/c (No. 15); the cell edges are 12.499, 5.893 and 8.029 Å and the angles 90.00°, 108.26° and 90.00°. The distinct sites, in fractional coordinates, are Dy at (0.171, 0.029, 0.080), Ho at (0.000, 0.397, 0.250), Pd at (0.000, 0.105, 0.750) and Pd at (0.158, 0.465, 0.586).

The formation energy is -0.75 eV per atom. As for the energy: -0.4146 Ry/atom. As for the distance to the lowest polymorph of the same formula: 0.1476 eV/atom.

=====

Entry from Alexandria via LeMat-Bulk: a geometry-optimized Cs2PmAgCl6 structure (PBE).

The structure belongs to space group Pmmn (No. 59, origin choice 2); the cell edges are 7.736, 11.064 and 7.736 Å and the angles 90.00°, 90.00° and 90.00°. The distinct sites, in fractional coordinates, are Cs at (0.250, 0.000, 0.250), Pm at (0.250, 0.250, 0.750), Ag at (0.250, 0.750, 0.749), Cl at (0.002, 0.250, 0.502), Cl at (0.002, 0.250, 0.999) and Cl at (0.250, 0.005, 0.751).

As for the energy: -0.2853 Ry/atom. The formation energy from raw total energies is -1843 meV per atom.

=====

Entry from Alexandria via LeMat-Bulk: a geometry-optimized Ti3ZnH2 structure (PBE).

The structure belongs to space group P6/mmm (No. 191); the cell edges are 5.4431, 5.4431 and 2.6567 Å and the angles 90.00°, 90.00° and 120.00°. The distinct sites, in fractional coordinates, are Ti at (0.0000, 0.5000, 0.0000), Zn at (0.0000, 0.0000, 0.5000) and H at (0.3333, 0.6667, 0.5000).

As for the energy: -0.3999 Ry/atom.

=====

Entry from Alexandria via LeMat-Bulk: a geometry-optimized HfV2Mo structure (PBE).

The structure belongs to space group I-42d (No. 122); the cell edges are 7.039, 7.039 and 5.525 Å and the angles 90.00°, 90.00° and 90.00°. The distinct sites, in fractional coordinates, are Hf at (0.000, 0.000, 0.000), V at (0.220, 0.250, 0.625) and Mo at (0.000, 0.000, 0.500).

The formation energy is 0.54 eV per atom. As for the energy: -0.6774 Ry/atom. As for the distance to the lowest polymorph of the same formula: 0.5250 eV/atom.

=====

Entry from Alexandria via LeMat-Bulk: a geometry-optimized AgSb2P structure (PBE).

The structure belongs to space group P2/m (No. 10); the cell edges are 3.025, 3.814 and 8.245 Å and the angles 90.00°, 94.10° and 90.00°. The distinct sites, in fractional coordinates, are Ag at (0.000, 0.000, 0.000), Sb at (0.048, 0.500, 0.740) and P at (0.000, 0.000, 0.500).

As for the energy: -0.2865 Ry/atom. The formation energy from raw total energies is 228 meV per atom.

=====

Entry from Alexandria via LeMat-Bulk: a geometry-optimized Cr2Pd3Pt3 structure (PBE).

The structure belongs to space group Pmmm (No. 47); the cell edges are 3.907, 3.910 and 7.806 Å and the angles 90.00°, 90.00° and 90.00°. The distinct sites, in fractional coordinates, are Cr at (0.000, 0.000, 0.249), Pd at (0.000, 0.500, 0.500), Pd at (0.500, 0.500, 0.251), Pt at (0.000, 0.500, 0.000), Pt at (0.500, 0.000, 0.000) and Pt at (0.500, 0.000, 0.500).

The formation energy is -0.19 eV per atom. As for the energy: -0.5005 Ry/atom.

=====

Q: Which formula does entry 6 have?
A: Cr2Pd3Pt3

=====

Copy entry 6 word for word.
Entry from Alexandria via LeMat-Bulk: a geometry-optimized Cr2Pd3Pt3 structure (PBE).

The structure belongs to space group Pmmm (No. 47); the cell edges are 3.907, 3.910 and 7.806 Å and the angles 90.00°, 90.00° and 90.00°. The distinct sites, in fractional coordinates, are Cr at (0.000, 0.000, 0.249), Pd at (0.000, 0.500, 0.500), Pd at (0.500, 0.500, 0.251), Pt at (0.000, 0.500, 0.000), Pt at (0.500, 0.000, 0.000) and Pt at (0.500, 0.000, 0.500).

The formation energy is -0.19 eV per atom. As for the energy: -0.5005 Ry/atom.

=====

Q: Which of these has the lowest energy?
A: HfV2Mo